[1]
Compound: NaTlMo2Au
Source: Alexandria via LeMat-Bulk
Functional: PBE
Structure: optimized geometry

Unit cell a=5.2939 b=5.2939 c=5.3147 alpha=90.00 beta=90.00 gamma=90.00
Fractional positions:
Na 0.0000 0.0000 0.0000
Tl 0.0000 0.0000 0.5000
Mo 0.0000 0.5000 0.5000
Mo 0.5000 0.0000 0.5000
Au 0.5000 0.5000 0.0000

Computed properties:
DFT total energy, eV/atom: -3.88
ΔH_f (0 K), eV per atom: 1.8484
Space group: P4/mmm

---

[2]
Compound: NbMo3Au
Source: Alexandria via LeMat-Bulk
Functional: PBE
Structure: optimized geometry

Unit cell a=4.7174 b=4.7174 c=4.7174 alpha=90.00 beta=90.00 gamma=90.00
Fractional positions:
Nb 0.0000 0.0000 0.0000
Mo 0.0000 0.0000 0.5000
Mo 0.0000 0.5000 0.0000
Mo 0.5000 0.0000 0.0000
Au 0.5000 0.5000 0.5000

Computed properties:
DFT total energy, eV/atom: -7.40
Offset from the most stable computed form, meV/atom: 0
ΔH_f (0 K), eV per atom: 1.7705
Space group: Pm-3m

---

[3]
Compound: Nb3Mo2Au
Source: Alexandria via LeMat-Bulk
Functional: PBE
Structure: optimized geometry

Unit cell a=3.2852 b=3.2852 c=9.6767 alpha=90.00 beta=90.00 gamma=90.00
Fractional positions:
Nb 0.0000 0.0000 0.0000
Nb 0.0000 0.0000 0.3196
Nb 0.0000 0.0000 0.6804
Mo 0.5000 0.5000 0.1683
Mo 0.5000 0.5000 0.8317
Au 0.5000 0.5000 0.5000

Computed properties:
DFT total energy, eV/atom: -9.27
ΔH_f (0 K), eV per atom: -0.0821
Space group: P4/mmm

---

[4]
Compound: NbMo2Au
Source: Alexandria via LeMat-Bulk
Functional: PBE
Structure: optimized geometry

Unit cell a=3.8597 b=3.8597 c=19.6560 alpha=90.00 beta=90.00 gamma=90.00
Fractional positions:
Nb 0.0000 0.0000 0.0000
Nb 0.0000 0.5000 0.2500
Nb 0.5000 0.0000 0.7500
Nb 0.5000 0.5000 0.5000
Mo 0.2286 0.2500 0.1250
Mo 0.2500 0.7286 0.3750
Mo 0.2500 0.7714 0.8750
Mo 0.2714 0.2500 0.6250
Mo 0.7286 0.7500 0.6250
Mo 0.7500 0.2286 0.8750
Mo 0.7500 0.2714 0.3750
Mo 0.7714 0.7500 0.1250
Au 0.0000 0.0000 0.5000
Au 0.0000 0.5000 0.7500
Au 0.5000 0.0000 0.2500
Au 0.5000 0.5000 0.0000

Computed properties:
DFT total energy, eV/atom: -8.10
Offset from the most stable computed form, meV/atom: 318
ΔH_f (0 K), eV per atom: 0.6479
Space group: I-42d

---

> DFT total energy of number 1 (NaTlMo2Au)?

-3.88 eV/atom

---

What did the second record say?
Compound: NbMo3Au
Source: Alexandria via LeMat-Bulk
Functional: PBE
Structure: optimized geometry

Unit cell a=4.7174 b=4.7174 c=4.7174 alpha=90.00 beta=90.00 gamma=90.00
Fractional positions:
Nb 0.0000 0.0000 0.0000
Mo 0.0000 0.0000 0.5000
Mo 0.0000 0.5000 0.0000
Mo 0.5000 0.0000 0.0000
Au 0.5000 0.5000 0.5000

Computed properties:
DFT total energy, eV/atom: -7.40
Offset from the most stable computed form, meV/atom: 0
ΔH_f (0 K), eV per atom: 1.7705
Space group: Pm-3m